Entry 1:
First-principles (GGA-PBE) data for an optimized crystal structure of BaNb3Os, as listed in Alexandria.

## Properties
The calculation puts the volume at 120.5 Å³ per cell. The energy relative to the lowest polymorph listed for this composition comes out at 2.179 eV per atom. The value obtained for the total energy is -5.598 eV per atom. As for the energy relative to the elements: 3074.0 meV per atom. As for the total moment: 0.00 Bohr magnetons per cell.

```
5
Lattice="-0.173 -4.811 -1.109 4.348 -0.674 2.246 -2.338 -0.898 4.258" Properties=species:S:1:pos:R:3 pbc="T T T"
Ba 0.000 0.000 0.000
Nb -1.169 -0.449 2.129
Nb 2.174 -0.337 1.123
Nb -0.086 -2.405 -0.555
Os 0.918 -3.191 2.697
```



Entry 2:
First-principles (GGA-PBE) data for an optimized crystal structure of BaNbOs3, as listed in Alexandria.

## Properties
The calculation puts the volume at 118.6 Å³ per cell. The energy relative to the lowest polymorph listed for this composition comes out at 0.000 eV per atom. The value obtained for the total energy is -7.598 eV per atom. As for the energy relative to the elements: 1538.5 meV per atom. As for the total moment: 0.00 Bohr magnetons per cell.

```
5
Lattice="4.913 0.000 0.000 0.000 4.913 0.000 0.000 0.000 4.913" Properties=species:S:1:pos:R:3 pbc="T T T"
Os 2.456 0.000 0.000
Os 0.000 0.000 2.456
Os 0.000 2.456 0.000
Ba 2.456 2.456 2.456
Nb 0.000 0.000 0.000
```



Entry 3:
First-principles (GGA-PBE) data for an optimized crystal structure of Ba2NbOs, as listed in Alexandria.

## Properties
The calculation puts the volume at 115.7 Å³ per cell. The value obtained for the total energy is -4.860 eV per atom. As for the energy relative to the elements: 1426.6 meV per atom. As for the total moment: 3.68 Bohr magnetons per cell.

```
4
Lattice="4.828 -1.996 1.623 0.729 -5.406 0.401 3.226 -2.597 -3.573" Properties=species:S:1:pos:R:3 pbc="T T T"
Nb 0.000 0.000 0.000
Ba 6.588 -7.500 -1.161
Ba 2.196 -2.500 -0.387
Os 4.392 -5.000 -0.774
```



Entry 4:
First-principles (GGA-PBE) data for an optimized crystal structure of BaNb3Os, as listed in Alexandria.

## Properties
The calculation puts the volume at 127.8 Å³ per cell. The energy relative to the lowest polymorph listed for this composition comes out at 0.000 eV per atom. The value obtained for the total energy is -7.777 eV per atom. As for the energy relative to the elements: 895.2 meV per atom. As for the total moment: 0.00 Bohr magnetons per cell.

```
5
Lattice="5.037 0.000 0.000 0.000 5.037 0.000 0.000 0.000 5.037" Properties=species:S:1:pos:R:3 pbc="T T T"
Ba 2.518 2.518 2.518
Nb 2.518 0.000 0.000
Nb 0.000 0.000 2.518
Nb 0.000 2.518 0.000
Os 0.000 0.000 0.000
```



Entry 5:
First-principles (GGA-PBE) data for an optimized crystal structure of BaNbOsPb2, as listed in Alexandria.

## Properties
The calculation puts the volume at 149.9 Å³ per cell. The value obtained for the total energy is -5.541 eV per atom. As for the energy relative to the elements: 586.7 meV per atom. As for the total moment: 2.11 Bohr magnetons per cell.

```
5
Lattice="-4.713 2.597 0.220 -1.625 -3.259 3.664 1.981 3.274 3.791" Properties=species:S:1:pos:R:3 pbc="T T T"
Pb -2.357 1.298 0.110
Pb 0.990 1.637 1.895
Nb -0.812 -1.630 1.832
Os 0.000 0.000 0.000
Ba -2.179 1.306 3.837
```



Entry 6:
First-principles (GGA-PBE) data for an optimized crystal structure of BaNbOsPt2, as listed in Alexandria.

## Properties
The calculation puts the volume at 131.1 Å³ per cell. The energy relative to the lowest polymorph listed for this composition comes out at 2.262 eV per atom. The value obtained for the total energy is -4.366 eV per atom. As for the energy relative to the elements: 2695.0 meV per atom. As for the total moment: 0.00 Bohr magnetons per cell.

```
5
Lattice="5.104 0.000 0.000 0.000 5.032 0.000 0.000 0.000 5.104" Properties=species:S:1:pos:R:3 pbc="T T T"
Nb 2.552 2.516 2.552
Ba 0.000 0.000 0.000
Pt 0.000 0.000 2.552
Pt 2.552 0.000 0.000
Os 0.000 2.516 0.000
```



Entry 7:
First-principles (GGA-PBE) data for an optimized crystal structure of BaNbOsPt2, as listed in Alexandria.

## Properties
The calculation puts the volume at 124.8 Å³ per cell. The energy relative to the lowest polymorph listed for this composition comes out at 0.000 eV per atom. The value obtained for the total energy is -6.628 eV per atom. As for the energy relative to the elements: 433.1 meV per atom. As for the total moment: 0.09 Bohr magnetons per cell.

```
5
Lattice="-4.832 -1.347 0.918 1.071 -0.688 4.627 -1.168 4.864 0.993" Properties=species:S:1:pos:R:3 pbc="T T T"
Nb 0.000 0.000 0.000
Pt -2.416 -0.674 0.459
Pt -0.584 2.432 0.497
Ba -2.465 1.414 3.269
Os 0.535 -0.344 2.313
```



Entry 8:
First-principles (GGA-PBE) data for an optimized crystal structure of BaScNb2Os, as listed in Alexandria.

## Properties
The calculation puts the volume at 142.5 Å³ per cell. The value obtained for the total energy is -6.848 eV per atom. As for the energy relative to the elements: 1076.3 meV per atom. As for the total moment: 0.00 Bohr magnetons per cell.

```
5
Lattice="-1.304 -3.237 -3.502 4.829 1.297 -2.996 2.443 -3.572 2.391" Properties=species:S:1:pos:R:3 pbc="T T T"
Sc 2.984 -2.756 -2.054
Ba 2.414 0.648 -1.498
Nb 1.221 -1.786 1.196
Nb -0.652 -1.618 -1.751
Os 0.000 0.000 0.000
```



Entry 9:
First-principles (GGA-PBE) data for an optimized crystal structure of BaNbP2, as listed in Alexandria.

## Properties
The calculation puts the volume at 226.0 Å³ per cell. The energy relative to the lowest polymorph listed for this composition comes out at 0.000 eV per atom. The value obtained for the total energy is -6.278 eV per atom. As for the energy relative to the elements: -574.7 meV per atom. As for the total moment: 1.98 Bohr magnetons per cell.

```
8
Lattice="-6.102 4.016 0.131 -0.353 -0.772 7.256 -0.908 5.130 4.180" Properties=species:S:1:pos:R:3 pbc="T T T"
P -3.133 4.996 6.544
P -3.548 3.342 2.022
P -6.298 6.753 8.960
P -1.748 1.655 5.608
Nb -3.227 1.622 3.694
Nb -2.244 2.989 7.565
Ba -5.119 5.383 4.002
Ba 0.000 0.000 0.000
```



Entry 10:
First-principles (GGA-PBE) data for an optimized crystal structure of Ba3NbP, as listed in Alexandria.

## Properties
The calculation puts the volume at 240.0 Å³ per cell. The energy relative to the lowest polymorph listed for this composition comes out at 0.000 eV per atom. The value obtained for the total energy is -3.937 eV per atom. As for the energy relative to the elements: 312.1 meV per atom. As for the total moment: 5.78 Bohr magnetons per cell.

```
5
Lattice="6.214 0.000 0.000 0.000 6.214 0.000 0.000 0.000 6.214" Properties=species:S:1:pos:R:3 pbc="T T T"
P 0.000 0.000 0.000
Nb 3.107 3.107 3.107
Ba 3.107 0.000 0.000
Ba 0.000 0.000 3.107
Ba 0.000 3.107 0.000
```



Q: What is the energy relative to the elements in the third record?
A: 1426.6 meV per atom



Q: The highest energy relative to the elements belongs to which entry?
A: number 1



What did the fourth record say?
First-principles (GGA-PBE) data for an optimized crystal structure of BaNb3Os, as listed in Alexandria.

## Properties
The calculation puts the volume at 127.8 Å³ per cell. The energy relative to the lowest polymorph listed for this composition comes out at 0.000 eV per atom. The value obtained for the total energy is -7.777 eV per atom. As for the energy relative to the elements: 895.2 meV per atom. As for the total moment: 0.00 Bohr magnetons per cell.

```
5
Lattice="5.037 0.000 0.000 0.000 5.037 0.000 0.000 0.000 5.037" Properties=species:S:1:pos:R:3 pbc="T T T"
Ba 2.518 2.518 2.518
Nb 2.518 0.000 0.000
Nb 0.000 0.000 2.518
Nb 0.000 2.518 0.000
Os 0.000 0.000 0.000
```